Compound: Pr3Dy4Y2
Source: the Alexandria database
Functional: PBE
Structure: optimized geometry

Properties
Its energy is -179.20 eV/cell. The value obtained for the distance to the lowest polymorph of the same formula is 0.000 eV/atom. Its formation enthalpy at 0 K is 0.87 eV/f.u. The crystal system is monoclinic. The total moment comes out at 0.00 μB per formula unit.

Unit cell a=16.4260 b=11.8156 c=6.1889 alpha=90.00 beta=97.26 gamma=90.00
Last column: nearest neighbours and their distance in Å.
Space group C2/c (No. 15)
Unique sites:
Pr1 0.0000 0.1438 0.2500 [4 per cell]  4 Dy 3.38-3.69, 6 Y 3.53-3.63
Pr2 0.1665 0.3647 0.0830 [8 per cell]  8 Dy 3.42-3.68, 2 Y 3.49-3.68
Dy1 0.0583 0.3795 0.5384 [8 per cell]  5 Pr 3.38-3.68, 3 Dy 3.43-3.53, 1 Y 3.53
Dy2 0.2255 0.1239 0.3684 [8 per cell]  5 Pr 3.42-3.69, 3 Y 3.44-3.81, 2 Dy 3.44-3.53
Y1 0.1086 0.1177 0.7956 [8 per cell]  4 Dy 3.44-3.81, 5 Pr 3.49-3.68, 1 Y 3.54